First-principles (PBE with a Hubbard U) data for a relaxed LiMnP2O8 crystal, as listed in Alexandria.

```
LiMnP2O8
1.0
4.549 -4.224 0.000
4.549 4.224 0.000
-4.003 0.000 8.049
Li Mn P O
2 2 4 16
Direct
0.232 0.768 0.500
0.768 0.232 0.000
0.500 0.797 0.261
0.797 0.500 0.761
0.351 0.498 0.866
0.498 0.351 0.366
0.808 0.946 0.654
0.946 0.808 0.154
0.025 0.907 0.612
0.100 0.472 0.753
0.193 0.795 0.272
0.286 0.441 0.414
0.381 0.711 0.022
0.441 0.286 0.914
0.472 0.100 0.253
0.481 0.536 0.753
0.536 0.481 0.253
0.581 0.891 0.502
0.711 0.381 0.522
0.788 0.807 0.767
0.795 0.193 0.772
0.807 0.788 0.267
0.891 0.581 0.002
0.907 0.025 0.112
```

- Total energy: -6.79 eV/atom
- SG: No. 9
- DOS at the Fermi energy: 0.55 states/eV/atom
- Mass density: 2.704 g/cm³